! KTbGd GGA-PBE optimized geometry; values from VASP
&SYSTEM
  ibrav = 0, nat = 3, ntyp = 3
/
ATOMIC_SPECIES
K 39.10 K.upf
Tb 158.93 Tb.upf
Gd 157.25 Gd.upf
ATOMIC_POSITIONS angstrom
K 0.000 0.000 0.000
Tb 2.008 2.008 2.008
Gd 6.023 6.023 6.023
CELL_PARAMETERS angstrom
0.000 4.015 4.015
4.015 0.000 4.015
4.015 4.015 0.000
! Energy = -6.61 eV for the cell shown
! ρ = 4556 kg/m3
! V = 129.48 Å³/cell